(1)
Computed, not measured: an optimized crystal structure of Nd2Sm2Al at the PBE level of DFT.

Cell: 4.3299 4.3299 17.9711 Å, 90.00 90.00 90.00°
Closest atoms and distances in Å follow each position.
Space group I4/mmm (No. 139)
Inequivalent atoms, fractional coordinates:
Nd: 0.0000 0.5000 0.2500 [4 per cell]  4 Nd 3.06
Sm: 0.0000 0.0000 0.0832 [4 per cell]  1 Sm 2.99
Al: 0.0000 0.0000 0.5000 [2 per cell]  8 Sm 3.41

Values from the calculation:
Calculated volume, Å³/cell: 336.9
Distance to the lowest polymorph of the same formula, kJ per mole of atoms: 38.0
Total moment, μB per formula unit: 0.000

(2)
Computed, not measured: an optimized crystal structure of Mg2CrCd at the PBE level of DFT.

Cell: 3.5888 4.4288 9.2464 Å, 90.00 90.00 90.00°
Closest atoms and distances in Å follow each position.
Space group Cmm2 (No. 35)
Inequivalent atoms, fractional coordinates:
Mg: 0.0000 0.0000 0.0000 [2 per cell]  4 Cr 2.71-3.01, 4 Mg 2.85
Mg: 0.0000 0.5000 0.2804 [2 per cell]  6 Mg 2.85-3.15, 2 Cd 3.06
Cr: 0.0000 0.5000 0.7799 [2 per cell]  4 Mg 2.71-3.01, 2 Cd 2.79, 4 Cr 2.85
Cd: 0.0000 0.0000 0.5485 [2 per cell]  4 Cr 2.79-3.08, 4 Cd 2.85, 2 Mg 3.06

Values from the calculation:
Calculated volume, Å³/cell: 147.0
E_tot, eV/atom: -3.03
Total moment, μB per formula unit: 0.290

(3)
Computed, not measured: an optimized crystal structure of Mg2Zn3Ag8 at the PBE level of DFT.

Cell: 8.7370 16.0461 3.5626 Å, 90.00 90.00 90.00°
Closest atoms and distances in Å follow each position.
Space group Cmmm (No. 65)
Inequivalent atoms, fractional coordinates:
Mg: 0.0000 0.2406 0.0000 [4 per cell]  8 Ag 2.79-3.00
Zn: 0.0000 0.5000 0.0000 [2 per cell]  4 Ag 2.67, 4 Zn 2.74
Zn: 0.2387 0.5000 0.5000 [4 per cell]  2 Zn 2.74, 8 Ag 2.74-2.88
Ag: 0.0000 0.0949 0.5000 [4 per cell]  2 Zn 2.74, 5 Ag 2.87-3.04, 2 Mg 2.94
Ag: 0.0000 0.3758 0.5000 [4 per cell]  4 Zn 2.67-2.88, 2 Mg 2.81, 4 Ag 2.83
Ag: 0.2490 0.1319 0.0000 [8 per cell]  3 Zn 2.77-3.05, 2 Mg 2.79-3.00, 4 Ag 2.83-2.87

Values from the calculation:
Calculated volume, Å³/cell: 499.5
Distance to the lowest polymorph of the same formula, kJ per mole of atoms: 2.8
Total moment, μB per formula unit: 0.000